No. 1
# YBeTl

YBeTl after structural relaxation (PBE, the Alexandria database).

density = 7.6 g cm⁻³
polymorph energy (0 for the lowest one) = 0.07 eV/f.u.
total moment = 0.00 μB/f.u.
E_form = -27 kJ/mol of formula units

```
data_YBeTl
_cell_length_a 16.002
_cell_length_b 4.302
_cell_length_c 3.879
_cell_angle_alpha 90.00
_cell_angle_beta 96.04
_cell_angle_gamma 90.00
_symmetry_space_group_name_H-M 'C 1 2/m 1'
_symmetry_Int_Tables_number 12
loop_
_symmetry_equiv_pos_as_xyz
'x,y,z'
'-x,-y,-z'
'-x,y,-z'
'x,-y,z'
'x+1/2,y+1/2,z'
'-x+1/2,-y+1/2,-z'
'-x+1/2,y+1/2,-z'
'x+1/2,-y+1/2,z'
loop_
_atom_site_label
_atom_site_fract_x
_atom_site_fract_y
_atom_site_fract_z
Y1 0.091 0.000 0.292
Be1 0.032 0.500 0.765
Tl1 0.197 0.500 0.800
```


No. 2
# LaHoScAl

LaHoScAl after structural relaxation (PBE, the Alexandria database).

density = 5.8 g cm⁻³
total moment = 1.08 μB/f.u.
E_form = -40 kJ/mol of formula units

```
data_LaHoScAl
_cell_length_a 7.533
_cell_length_b 7.533
_cell_length_c 7.533
_cell_angle_alpha 90.00
_cell_angle_beta 90.00
_cell_angle_gamma 90.00
_symmetry_space_group_name_H-M 'F -4 3 m'
_symmetry_Int_Tables_number 216
_symmetry_space_group_name_Hall 'F -4 2 3'
loop_
_atom_site_label
_atom_site_fract_x
_atom_site_fract_y
_atom_site_fract_z
La1 0.000 0.000 0.000
Ho1 0.000 0.000 0.500
Sc1 0.250 0.250 0.750
Al1 0.250 0.250 0.250
```


No. 3
# GeW2Br

GeW2Br after structural relaxation (PBE, the Alexandria database).

density = 9.7 g cm⁻³
polymorph energy (0 for the lowest one) = 3.05 eV/f.u.
total moment = 0.00 μB/f.u.

```
data_GeW2Br
_cell_length_a 6.121
_cell_length_b 6.121
_cell_length_c 9.486
_cell_angle_alpha 90.00
_cell_angle_beta 90.00
_cell_angle_gamma 90.00
_symmetry_space_group_name_H-M 'I -4 2 d'
_symmetry_Int_Tables_number 122
_symmetry_space_group_name_Hall 'I -4 2bw'
loop_
_atom_site_label
_atom_site_fract_x
_atom_site_fract_y
_atom_site_fract_z
Ge1 0.000 0.000 0.000
W1 0.247 0.250 0.625
Br1 0.000 0.000 0.500
```


No. 4
# TeIr2Ru

TeIr2Ru after structural relaxation (PBE, the Alexandria database).

density = 15.8 g cm⁻³
E = -7.10 eV per atom
total moment = 0.00 μB/f.u.

```
data_TeIr2Ru
_cell_length_a 4.108
_cell_length_b 4.108
_cell_length_c 7.624
_cell_angle_alpha 90.00
_cell_angle_beta 90.00
_cell_angle_gamma 90.00
_symmetry_space_group_name_H-M 'I -4 m 2'
_symmetry_Int_Tables_number 119
_symmetry_space_group_name_Hall 'I -4 -2'
loop_
_atom_site_label
_atom_site_fract_x
_atom_site_fract_y
_atom_site_fract_z
Te1 0.000 0.000 0.000
Ir1 0.000 0.000 0.500
Ir2 0.000 0.500 0.750
Ru1 0.000 0.500 0.250
```


No. 5
# La2TiOs

La2TiOs after structural relaxation (PBE, the Alexandria database).

density = 8.9 g cm⁻³
total moment = 2.61 μB/f.u.
E_form = 121 kJ/mol of formula units

```
data_La2TiOs
_cell_length_a 7.280
_cell_length_b 7.280
_cell_length_c 7.280
_cell_angle_alpha 90.00
_cell_angle_beta 90.00
_cell_angle_gamma 90.00
_symmetry_space_group_name_H-M 'F m -3 m'
_symmetry_Int_Tables_number 225
_symmetry_space_group_name_Hall '-F 4 2 3'
loop_
_atom_site_label
_atom_site_fract_x
_atom_site_fract_y
_atom_site_fract_z
La1 0.250 0.250 0.250
Ti1 0.000 0.000 0.000
Os1 0.000 0.000 0.500
```


No. 6
# TcRuRh3

TcRuRh3 after structural relaxation (PBE, the Alexandria database).

density = 8.6 g cm⁻³
polymorph energy (0 for the lowest one) = 3.69 eV/f.u.
total moment = 4.45 μB/f.u.
E_form = 588 kJ/mol of formula units

```
data_TcRuRh3
_cell_length_a 5.3417
_cell_length_b 5.3417
_cell_length_c 11.8474
_cell_angle_alpha 90.00
_cell_angle_beta 90.00
_cell_angle_gamma 120.00
_symmetry_space_group_name_H-M 'R -3 m'
_symmetry_Int_Tables_number 166
_symmetry_space_group_name_Hall '-R 3 2"'
loop_
_atom_site_label
_atom_site_fract_x
_atom_site_fract_y
_atom_site_fract_z
Tc1 0.0000 0.0000 0.0000
Ru1 0.0000 0.0000 0.5000
Rh1 0.0000 0.5000 0.0000
```